## VTcRuO6 (PBE+U)

Data for crystalline VTcRuO6 at its relaxed geometry. Values from VASP.

Results
Spin magnetization = 3.82 μB per cell
E = -7.702 eV/atom
N(E_F) = 4.25 states/eV/f.u.

```
&SYSTEM
  ibrav = 0, nat = 18, ntyp = 4
/
ATOMIC_SPECIES
Ru 101.07 Ru.upf
O 16.00 O.upf
Tc 98.00 Tc.upf
V 50.94 V.upf
ATOMIC_POSITIONS crystal
Ru 0.000 0.000 0.500
O 0.994 0.329 0.126
O 0.671 0.665 0.126
Tc 0.667 0.333 0.250
O 0.994 0.665 0.374
O 0.329 0.335 0.874
V 0.333 0.667 0.250
O 0.335 0.006 0.126
O 0.329 0.994 0.626
V 0.667 0.333 0.750
Ru 0.000 0.000 0.000
O 0.335 0.329 0.374
O 0.665 0.994 0.874
O 0.671 0.006 0.374
Tc 0.333 0.667 0.750
O 0.665 0.671 0.626
O 0.006 0.671 0.874
O 0.006 0.335 0.626
CELL_PARAMETERS angstrom
4.981 0.000 0.000
-2.490 4.313 0.000
0.000 0.000 8.886
```